[1]
DFT (PBE) results for an optimized crystal structure of Li2CdInH.

abc: 4.386 4.386 4.135
angles: 90.00 90.00 90.00
Fractional coordinates of all 5 atoms:
Li  0.000  0.500  0.000
In  0.500  0.500  0.500
Cd  0.000  0.000  0.500
H  0.000  0.000  0.000
Li  0.500  0.000  0.000

Output
* VASP energy: -2.310 eV/atom
* polymorph energy (0 for the lowest one): 0.000 eV per atom
* ρ: 5.054 g cm⁻³

---

[2]
DFT (PBE) results for an optimized crystal structure of Tm2GaSn3.

abc: 5.907 7.743 7.743
angles: 109.92 90.00 90.00
Fractional coordinates of all 12 atoms:
Tm  0.750  0.160  0.445
Tm  0.250  0.555  0.840
Tm  0.250  0.840  0.555
Sn  0.500  0.190  0.810
Sn  0.000  0.810  0.190
Tm  0.750  0.445  0.160
Sn  0.000  0.190  0.810
Sn  0.750  0.590  0.590
Sn  0.250  0.410  0.410
Ga  0.250  0.100  0.100
Ga  0.750  0.900  0.900
Sn  0.500  0.810  0.190

Output
* VASP energy: -4.187 eV/atom
* ρ: 7.617 g cm⁻³
* formation enthalpy at 0 K: -1.1 eV/f.u.

---

[3]
DFT (PBE) results for an optimized crystal structure of ScTi4.

abc: 4.623 4.623 4.623
angles: 90.00 90.00 90.00
Fractional coordinates of all 5 atoms:
Sc  0.500  0.500  0.500
Ti  0.000  0.000  0.000
Ti  0.000  0.500  0.500
Ti  0.500  0.500  0.000
Ti  0.500  0.000  0.500

Output
* VASP energy: -6.418 eV/atom
* ρ: 3.973 g cm⁻³
* formation enthalpy at 0 K: 5.8 eV/f.u.

---

[4]
DFT (PBE) results for an optimized crystal structure of Sm4GePbC.

abc: 6.919 6.924 8.741
angles: 90.00 113.31 90.00
Fractional coordinates of all 14 atoms:
Sm  0.919  0.250  0.838
Sm  0.500  0.500  0.500
Ge  0.116  0.250  0.231
Sm  0.500  0.000  0.500
Ge  0.884  0.750  0.769
Pb  0.392  0.250  0.785
Sm  0.000  0.500  0.500
C  0.248  0.750  0.496
Sm  0.410  0.750  0.820
Sm  0.590  0.250  0.180
Pb  0.608  0.750  0.215
Sm  0.000  0.000  0.500
C  0.752  0.250  0.504
Sm  0.081  0.750  0.162

Output
* VASP energy: -5.694 eV/atom
* ρ: 7.715 g cm⁻³
* formation enthalpy at 0 K: -3.4 eV/f.u.

---

[5]
DFT (PBE) results for an optimized crystal structure of AcLa2Tb2.

abc: 3.763 8.121 12.667
angles: 90.00 90.00 103.40
Fractional coordinates of all 10 atoms:
La  0.987  0.973  0.200
Tb  0.303  0.607  0.089
Ac  0.373  0.746  0.461
Tb  0.065  0.131  0.443
Tb  0.697  0.393  0.589
Tb  0.935  0.869  0.943
La  0.013  0.027  0.700
Ac  0.627  0.254  0.961
La  0.297  0.593  0.792
La  0.703  0.407  0.292

Output
* VASP energy: -4.523 eV/atom
* polymorph energy (0 for the lowest one): 0.000 eV per atom
* ρ: 7.255 g cm⁻³
* formation enthalpy at 0 K: 0.6 eV/f.u.

---

[6]
DFT (PBE) results for an optimized crystal structure of YThIr.

abc: 4.911 4.911 4.911
angles: 60.00 60.00 60.00
Fractional coordinates of all 3 atoms:
Ir  0.250  0.250  0.250
Y  0.000  0.000  0.000
Th  0.500  0.500  0.500

Output
* VASP energy: -8.153 eV/atom
* polymorph energy (0 for the lowest one): 0.083 eV per atom
* ρ: 10.172 g cm⁻³
* formation enthalpy at 0 K: -1.7 eV/f.u.

---

[7]
DFT (PBE) results for an optimized crystal structure of K2InHg12.

abc: 7.248 7.248 17.822
angles: 90.00 90.00 90.00
Fractional coordinates of all 30 atoms:
In  0.000  0.500  0.000
Hg  0.750  0.250  0.907
Hg  0.250  0.750  0.907
Hg  0.250  0.250  0.907
Hg  0.500  0.500  0.814
Hg  0.250  0.250  0.093
Hg  0.344  0.156  0.567
K  0.000  0.500  0.245
Hg  0.000  0.000  0.647
Hg  0.844  0.344  0.567
K  0.500  0.000  0.755
Hg  0.656  0.156  0.433
Hg  0.000  0.000  0.353
Hg  0.750  0.750  0.907
K  0.000  0.500  0.755
Hg  0.500  0.500  0.186
Hg  0.000  0.000  0.186
Hg  0.156  0.344  0.433
Hg  0.156  0.656  0.567
Hg  0.656  0.844  0.567
In  0.500  0.000  0.000
Hg  0.750  0.750  0.093
Hg  0.750  0.250  0.093
Hg  0.344  0.844  0.433
Hg  0.500  0.500  0.353
Hg  0.250  0.750  0.093
K  0.500  0.000  0.245
Hg  0.500  0.500  0.647
Hg  0.844  0.656  0.433
Hg  0.000  0.000  0.814

Output
* VASP energy: -0.687 eV/atom
* ρ: 9.224 g cm⁻³
* formation enthalpy at 0 K: -1.8 eV/f.u.

---

[8]
DFT (PBE) results for an optimized crystal structure of Ag2N2O.

abc: 5.963 5.963 7.441
angles: 90.00 90.00 90.00
Fractional coordinates of all 10 atoms:
O  0.000  0.000  0.000
N  0.434  0.066  0.500
Ag  0.249  0.749  0.000
N  0.934  0.434  0.500
N  0.566  0.934  0.500
Ag  0.751  0.251  0.000
N  0.066  0.566  0.500
O  0.500  0.500  0.000
Ag  0.251  0.249  0.000
Ag  0.749  0.751  0.000

Output
* VASP energy: -5.384 eV/atom
* formation energy (no corrections): 7.5 kJ/mol of atoms
* ρ: 3.260 g cm⁻³

---

[9]
DFT (PBE) results for an optimized crystal structure of CsInAg2Cl6.

abc: 7.109 7.105 7.732
angles: 62.64 62.56 59.94
Fractional coordinates of all 10 atoms:
In  0.330  0.330  0.009
Cl  0.560  0.275  0.220
Cl  0.277  0.944  0.220
Ag  0.523  0.523  0.431
Cl  0.209  0.303  0.758
Cl  0.303  0.731  0.759
Ag  0.995  0.996  0.014
Cl  0.945  0.558  0.221
Cl  0.730  0.209  0.757
Cs  0.791  0.791  0.628

Output
* VASP energy: -3.042 eV/atom
* formation energy (no corrections): -96.9 kJ/mol of atoms
* ρ: 3.921 g cm⁻³

---

[10]
DFT (PBE) results for an optimized crystal structure of AlSb2I.

abc: 5.337 5.337 5.337
angles: 60.00 60.00 60.00
Fractional coordinates of all 4 atoms:
I  0.500  0.500  0.500
Sb  0.250  0.250  0.250
Sb  0.750  0.750  0.750
Al  0.000  0.000  0.000

Output
* VASP energy: -2.948 eV/atom
* formation energy (no corrections): 42.1 kJ/mol of atoms
* polymorph energy (0 for the lowest one): 0.092 eV per atom
* ρ: 6.139 g cm⁻³

---

[11]
DFT (PBE) results for an optimized crystal structure of MnGePHCN.

abc: 6.001 2.832 7.995
angles: 90.00 95.39 90.00
Fractional coordinates of all 12 atoms:
P  0.420  0.000  0.738
Ge  0.906  0.000  0.279
C  0.236  0.000  0.213
Ge  0.906  0.500  0.779
Mn  0.688  0.000  0.546
H  0.186  0.500  0.576
H  0.186  0.000  0.076
N  0.549  0.500  0.433
N  0.549  0.000  0.933
P  0.420  0.500  0.238
Mn  0.688  0.500  0.046
C  0.236  0.500  0.713

Output
* VASP energy: -6.594 eV/atom
* polymorph energy (0 for the lowest one): 0.006 eV per atom
* ρ: 4.556 g cm⁻³

---

[12]
DFT (PBE) results for an optimized crystal structure of AlTcP.

abc: 3.055 3.055 5.882
angles: 90.00 90.00 120.00
Fractional coordinates of all 3 atoms:
P  0.667  0.333  0.505
Al  0.667  0.333  0.913
Tc  0.000  0.000  0.245

Output
* VASP energy: -6.955 eV/atom
* polymorph energy (0 for the lowest one): 0.065 eV per atom
* ρ: 5.446 g cm⁻³
* formation enthalpy at 0 K: -1.3 eV/f.u.

---

[13]
DFT (PBE) results for an optimized crystal structure of LiTh3In12.

abc: 4.707 4.707 18.665
angles: 90.00 90.00 90.00
Fractional coordinates of all 16 atoms:
In  0.500  0.500  0.247
Li  0.000  0.000  0.000
In  0.500  0.500  0.753
In  0.500  0.000  0.629
Th  0.000  0.000  0.500
In  0.000  0.500  0.887
In  0.500  0.000  0.371
In  0.000  0.500  0.113
Th  0.000  0.000  0.243
In  0.500  0.000  0.887
In  0.500  0.500  0.000
Th  0.000  0.000  0.757
In  0.500  0.000  0.113
In  0.000  0.500  0.629
In  0.500  0.500  0.500
In  0.000  0.500  0.371

Output
* VASP energy: -3.847 eV/atom
* ρ: 8.355 g cm⁻³
* formation enthalpy at 0 K: -4.5 eV/f.u.

---

[14]
DFT (PBE) results for an optimized crystal structure of PmAlPb2Se5.

abc: 4.118 9.614 13.390
angles: 90.00 90.00 102.37
Fractional coordinates of all 18 atoms:
Se  0.490  0.981  0.765
Pb  0.144  0.288  0.675
Pb  0.856  0.712  0.175
Se  0.680  0.361  0.876
Se  0.030  0.061  0.016
Se  0.510  0.019  0.265
Se  0.970  0.939  0.516
Se  0.320  0.639  0.376
Se  0.698  0.396  0.187
Se  0.653  0.306  0.520
Pb  0.110  0.221  0.336
Pm  0.806  0.612  0.533
Pm  0.194  0.388  0.033
Al  0.555  0.110  0.916
Al  0.445  0.890  0.416
Pb  0.890  0.779  0.836
Se  0.302  0.604  0.687
Se  0.347  0.694  0.020

Output
* VASP energy: -4.700 eV/atom
* formation energy (no corrections): -96.2 kJ/mol of atoms
* ρ: 6.293 g cm⁻³

---

[15]
DFT (PBE) results for an optimized crystal structure of Hf3Co2Tc2.

abc: 4.439 4.435 7.541
angles: 90.22 107.07 120.05
Fractional coordinates of all 7 atoms:
Co  0.759  0.878  0.640
Hf  0.523  0.763  0.284
Tc  0.241  0.620  0.861
Hf  0.477  0.237  0.716
Hf  0.000  0.000  0.000
Co  0.241  0.122  0.360
Tc  0.759  0.380  0.139

Output
* VASP energy: -9.260 eV/atom
* ρ: 11.676 g cm⁻³
* formation enthalpy at 0 K: 0.0 eV/f.u.

---

[16]
DFT (PBE) results for an optimized crystal structure of EuDy2Rh.

abc: 3.512 3.512 9.171
angles: 90.00 90.00 90.00
Last column: magnetic moment on the atom in μB.
Fractional coordinates of all 4 atoms:
Dy  0.000  0.000  0.175  -0.06
Rh  0.500  0.500  0.000  -0.01
Eu  0.500  0.500  0.500  -6.97
Dy  0.000  0.000  0.825  -0.06

Output
* VASP energy: -7.105 eV/atom
* polymorph energy (0 for the lowest one): 0.000 eV per atom
* ρ: 8.511 g cm⁻³
* formation enthalpy at 0 K: -1.6 eV/f.u.

---

[17]
DFT (PBE) results for an optimized crystal structure of PaPI.

abc: 3.965 3.965 13.355
angles: 89.98 81.85 90.00
Last column: magnetic moment on the atom in μB.
Fractional coordinates of all 6 atoms:
Pa  0.123  0.573  0.177  0.38
I  0.413  0.073  0.629  -0.01
Pa  0.512  0.072  0.411  0.38
I  0.225  0.571  0.959  -0.01
P  0.616  0.072  0.194  -0.01
P  0.020  0.572  0.394  -0.01

Output
* VASP energy: -6.436 eV/atom
* formation energy (no corrections): -91.7 kJ/mol of atoms
* polymorph energy (0 for the lowest one): 0.000 eV per atom
* ρ: 6.215 g cm⁻³

---

[18]
DFT (PBE) results for an optimized crystal structure of TiHg3Pt.

abc: 5.171 5.171 5.171
angles: 90.00 90.00 90.00
Last column: magnetic moment on the atom in μB.
Fractional coordinates of all 5 atoms:
Hg  0.000  0.000  0.500  -0.02
Pt  0.000  0.000  0.000  -0.03
Hg  0.500  0.000  0.000  -0.01
Hg  0.000  0.500  0.000  -0.01
Ti  0.500  0.500  0.500  0.08

Output
* VASP energy: -2.277 eV/atom
* polymorph energy (0 for the lowest one): 0.000 eV per atom
* ρ: 10.145 g cm⁻³
* formation enthalpy at 0 K: 3.5 eV/f.u.

---

[19]
DFT (PBE) results for an optimized crystal structure of LiPu2H4.

abc: 3.574 3.574 6.670
angles: 74.46 74.46 90.00
Last column: magnetic moment on the atom in μB.
Fractional coordinates of all 7 atoms:
H  0.000  0.500  0.000  -0.02
Pu  0.644  0.644  0.711  5.81
H  0.161  0.161  0.678  -0.03
Li  0.000  0.000  0.000  0.04
Pu  0.356  0.356  0.289  5.81
H  0.839  0.839  0.322  -0.03
H  0.500  0.000  0.000  -0.02

Output
* VASP energy: -6.569 eV/atom
* polymorph energy (0 for the lowest one): 0.000 eV per atom
* ρ: 10.508 g cm⁻³

---

[20]
DFT (PBE) results for an optimized crystal structure of P4Se3Br2.

abc: 10.726 10.726 13.101
angles: 108.43 108.43 98.35
Fractional coordinates of all 36 atoms:
Br  0.969  0.252  0.077
P  0.002  0.273  0.830
Br  0.252  0.969  0.577
P  0.360  0.598  0.867
P  0.584  0.646  0.919
Se  0.671  0.133  0.813
P  0.354  0.416  0.581
P  0.136  0.688  0.075
P  0.312  0.864  0.425
Se  0.617  0.667  0.759
P  0.688  0.136  0.575
P  0.864  0.312  0.925
P  0.998  0.727  0.170
Se  0.044  0.956  0.250
Br  0.748  0.031  0.423
Br  0.031  0.748  0.923
Br  0.358  0.131  0.956
Se  0.956  0.044  0.750
Se  0.667  0.617  0.259
P  0.273  0.002  0.330
Se  0.383  0.333  0.241
P  0.402  0.640  0.633
Se  0.329  0.867  0.187
P  0.416  0.354  0.081
Br  0.869  0.642  0.544
Se  0.867  0.329  0.687
Se  0.288  0.712  0.750
P  0.598  0.360  0.367
P  0.727  0.998  0.670
Br  0.131  0.358  0.456
Br  0.642  0.869  0.044
P  0.640  0.402  0.133
P  0.646  0.584  0.419
Se  0.712  0.288  0.250
Se  0.333  0.383  0.741
Se  0.133  0.671  0.313

Output
* VASP energy: -4.103 eV/atom
* formation energy (no corrections): -16.0 kJ/mol of atoms
* ρ: 2.649 g cm⁻³